Entry from Alexandria: a relaxed structure of YZrSb2 (PBE-GGA). Values from VASP.

Output
Uncorrected energy ... -6.6760 eV/atom
N(E_F) ... 2.05 states/eV per cell
ΔE_f (raw) ... -0.862 eV per atom
Magnetization ... 0.00 μB per atom

```
&SYSTEM
  ibrav = 0, nat = 4, ntyp = 3
/
ATOMIC_SPECIES
Y 88.91 Y.upf
Zr 91.22 Zr.upf
Sb 121.76 Sb.upf
ATOMIC_POSITIONS angstrom
Y 0.0000 0.0000 0.0000
Zr 0.0000 0.0000 10.5465
Sb 0.0000 0.0000 5.1785
Sb 0.0000 0.0000 15.9146
CELL_PARAMETERS angstrom
2.1147 1.2209 7.0310
-2.1147 1.2209 7.0310
0.0000 -2.4418 7.0310
```